VASP calculation (PBE with a Hubbard U) on a relaxed VIO2F crystal.

Geometry as POSCAR:
```
VIO2F
1.0
4.045 0.000 0.000
0.000 4.045 0.000
0.000 0.000 4.020
V I O F
1 1 2 1
Cartesian
0.000 0.000 0.000
2.022 2.022 2.010
0.000 2.022 0.000
2.022 0.000 0.000
0.000 0.000 2.010
```

Summary:
Total energy in eV/atom: -4.99
N(E_F) in states/eV/f.u.: 5.23